*a*
DFT (GGA+U) results for a geometry-optimized K2LiVO4 structure. Values from VASP.

Computed properties:
- D(E_F) (states/eV/f.u.) = 0.00
- space group = No. 12
- volume (Å³ per atom) = 16.08

```
&SYSTEM
  ibrav = 0, nat = 16, ntyp = 4
/
ATOMIC_SPECIES
Li 6.94 Li.upf
K 39.10 K.upf
O 16.00 O.upf
V 50.94 V.upf
ATOMIC_POSITIONS angstrom
Li -0.6706 -4.9023 0.5389
K 0.9380 -2.1040 5.7112
O -1.2998 -1.2869 7.0663
K 0.0234 -1.9952 2.0948
Li 3.2848 -2.5831 2.7037
O -0.2685 -4.9407 2.4711
K -1.5917 -4.2324 7.4426
V 0.8351 -4.9944 3.8247
V -2.4034 -1.2332 5.7126
O 1.9381 -3.6470 3.6787
O -3.3056 0.2582 5.7633
O 1.7373 -6.4858 3.7741
O -0.0587 -4.8661 5.3206
O -3.5063 -2.5807 5.8586
K -2.5063 -4.1236 3.8261
O -1.5095 -1.3615 4.2168
CELL_PARAMETERS angstrom
-1.7507 -5.5356 -0.0523
4.3650 -1.9497 3.2948
-4.1826 1.2577 6.2948
```

*b*
DFT (GGA+U) results for a geometry-optimized K2LiVO4 structure. Values from VASP.

Computed properties:
- D(E_F) (states/eV/f.u.) = 0.00
- space group = No. 70
- volume (Å³ per atom) = 17.37

```
&SYSTEM
  ibrav = 0, nat = 16, ntyp = 4
/
ATOMIC_SPECIES
O 16.00 O.upf
K 39.10 K.upf
V 50.94 V.upf
Li 6.94 Li.upf
ATOMIC_POSITIONS angstrom
O -6.9130 -2.0132 2.9384
O -4.3091 -0.8548 2.6122
O -2.1892 -2.8873 1.0606
K -6.7564 0.5292 1.2815
O -9.3490 0.2355 2.7339
O -10.6914 -4.3580 6.2935
O -4.9047 -3.0441 4.4937
K -5.1331 -2.9409 0.5621
V -1.0629 -2.1881 -0.0780
Li -6.4983 -3.7421 3.6728
Li 0.0000 0.0000 0.0000
O -7.7407 -4.6802 4.8029
O -1.6379 -3.5824 4.7592
V -5.4354 -1.5540 3.7508
K -9.5056 -2.3068 4.3909
K -3.4910 -5.1773 2.9548
CELL_PARAMETERS angstrom
-2.1258 -4.3761 -0.1559
-0.0443 -2.8845 5.5800
-9.7637 1.9645 1.9995
```

Of the structures shown above, *b* is the least stable.